# 1
DFT (PBE) results for an optimized crystal structure of Sc2MnPPd.

Properties
formation energy	0.24	eV per atom
E	-6.247	eV/atom
mass density	4.10	g cm⁻³

Unit cell a=5.0892 b=5.0892 c=4.4156 alpha=90.00 beta=90.00 gamma=90.00
With the nearest neighbours (Å) after each atom.
Sites, in units of the cell vectors:
Sc 0.0000 0.5000 0.0000  2 Pd 2.54
Sc 0.5000 0.0000 0.0000  2 Pd 2.54
Mn 0.0000 0.0000 0.5000  8 Sc 3.37, 4 P 3.60
P 0.5000 0.5000 0.5000  2 Pd 2.21
Pd 0.5000 0.5000 0.0000  2 P 2.21


# 2
DFT (PBE) results for an optimized crystal structure of MnPPd2Se.

Properties
E_form (uncorrected)	0.617	eV per atom
E	-5.073	eV/atom
mass density	6.46	g cm⁻³

Unit cell a=4.7987 b=4.7987 c=4.2162 alpha=90.00 beta=90.00 gamma=90.00
With the nearest neighbours (Å) after each atom.
Sites, in units of the cell vectors:
Mn 0.0000 0.0000 0.0000  2 P 2.11
P 0.0000 0.0000 0.5000  2 Mn 2.11
Pd 0.0000 0.5000 0.0000  2 Mn 2.40
Pd 0.5000 0.0000 0.0000  2 Mn 2.40
Se 0.5000 0.5000 0.5000  8 Pd 3.19, 4 P 3.39


# 3
DFT (PBE) results for an optimized crystal structure of SrMnP2Pd.

Properties
formation energy	-0.72	eV per atom
E	-6.094	eV/atom
mass density	5.63	g cm⁻³

Unit cell a=6.5677 b=6.5677 c=6.5677 alpha=145.21 beta=145.21 gamma=50.02
With the nearest neighbours (Å) after each atom.
Sites, in units of the cell vectors:
Sr 0.0000 0.0000 0.0000  8 P 3.26, 4 Mn 3.57, 4 Pd 3.57
Mn 0.7500 0.2500 0.5000  4 P 2.33
P 0.3561 0.3561 0.0000  2 Mn 2.33, 2 Pd 2.33
P 0.6439 0.6439 0.0000  2 Mn 2.33, 2 Pd 2.33
Pd 0.2500 0.7500 0.5000  4 P 2.33


# 4
DFT (PBE) results for an optimized crystal structure of MnTe2P2Pd7.

Properties
E_form (uncorrected)	-0.355	eV per atom
E	-5.573	eV/atom
mass density	8.34	g cm⁻³

Unit cell a=14.5707 b=14.5707 c=14.5707 alpha=164.45 beta=164.45 gamma=22.07
With the nearest neighbours (Å) after each atom.
Sites, in units of the cell vectors:
Mn 0.0000 0.0000 0.0000  12 Pd 2.79-2.82
Te 0.2075 0.2075 0.0000  5 Pd 2.74-2.81
Te 0.7925 0.7925 0.0000  5 Pd 2.74-2.81
P 0.3844 0.3844 0.0000  5 Pd 2.32-2.36
P 0.6156 0.6156 0.0000  5 Pd 2.32-2.36
Pd 0.0706 0.5706 0.5000  2 P 2.36
Pd 0.3031 0.3031 0.0000  1 P 2.32
Pd 0.4294 0.9294 0.5000  2 P 2.36
Pd 0.5000 0.5000 0.0000  4 Mn 2.79, 8 Pd 2.82
Pd 0.5706 0.0706 0.5000  2 P 2.36
Pd 0.6969 0.6969 0.0000  1 P 2.32
Pd 0.9294 0.4294 0.5000  2 P 2.36